1.
Density functional theory data (PBE-GGA) for a relaxed Pr2TiCuSe5 crystal.

Summary:
Total DFT energy (no corrections) (hartree per atom): -0.2100
Fermi-level density of states (states/eV per cell): 5.09
Volume (Å³ per cell): 416.5

The structure in CIF format:
```
data_Pr2TiCuSe5
_chemical_formula_sum 'Pr4 Ti2 Cu2 Se10'
_cell_length_a 4.0269
_cell_length_b 8.9839
_cell_length_c 11.8122
_cell_angle_alpha 90.00
_cell_angle_beta 90.00
_cell_angle_gamma 102.95
_space_group_name_H-M_alt 'P 1'
_space_group_IT_number 1
_space_group_name_Hall 'P 1'
loop_
_atom_site_label
_atom_site_fract_x
_atom_site_fract_y
_atom_site_fract_z
_atom_site_occupancy
Se1 0.2901 0.5802 0.6617 1
Se2 0.6529 0.3058 0.5059 1
Se3 0.3022 0.6044 0.3612 1
Se4 0.4992 0.9984 0.7752 1
Se5 0.5008 0.0016 0.2752 1
Se6 0.9504 0.9009 0.5542 1
Se7 0.6978 0.3956 0.8612 1
Se8 0.7099 0.4198 0.1617 1
Se9 0.3471 0.6942 0.0059 1
Se10 0.0496 0.0991 0.0542 1
Pr1 0.1258 0.2515 0.3103 1
Pr2 0.8742 0.7485 0.8103 1
Pr3 0.8835 0.7670 0.1957 1
Pr4 0.1165 0.2330 0.6957 1
Ti1 0.8117 0.6234 0.5124 1
Ti2 0.1883 0.3766 0.0124 1
Cu1 0.5720 0.1440 0.9473 1
Cu2 0.4280 0.8560 0.4473 1
```

=====

2.
Density functional theory data (PBE-GGA) for a relaxed K2CuRe crystal.

Summary:
Total DFT energy (no corrections) (hartree per atom): -0.1365
Fermi-level density of states (states/eV per cell): 4.19
Volume (Å³ per cell): 121.7
Polymorph energy (0 for the lowest one) (eV per atom): 0.067

The structure in CIF format:
```
data_K2CuRe
_chemical_formula_sum 'K2 Cu1 Re1'
_cell_length_a 10.3891
_cell_length_b 10.3891
_cell_length_c 4.3970
_cell_angle_alpha 77.81
_cell_angle_beta 77.81
_cell_angle_gamma 15.21
_space_group_name_H-M_alt 'P 1'
_space_group_IT_number 1
_space_group_name_Hall 'P 1'
loop_
_atom_site_label
_atom_site_fract_x
_atom_site_fract_y
_atom_site_fract_z
_atom_site_occupancy
K1 0.8920 0.8920 0.1074 1
K2 0.6080 0.6080 0.3926 1
Re1 0.7500 0.7500 0.7500 1
Cu1 0.2500 0.2500 0.2500 1
```

=====

3.
Density functional theory data (PBE-GGA) for a relaxed CaPr6Ho4 crystal.

Summary:
Total DFT energy (no corrections) (hartree per atom): -0.1478
Fermi-level density of states (states/eV per cell): 12.28
Volume (Å³ per cell): 420.7

The structure in CIF format:
```
data_CaPr6Ho4
_chemical_formula_sum 'Ca1 Pr6 Ho4'
_cell_length_a 8.6066
_cell_length_b 8.6066
_cell_length_c 8.6066
_cell_angle_alpha 83.28
_cell_angle_beta 123.95
_cell_angle_gamma 123.95
_space_group_name_H-M_alt 'P 1'
_space_group_IT_number 1
_space_group_name_Hall 'P 1'
loop_
_atom_site_label
_atom_site_fract_x
_atom_site_fract_y
_atom_site_fract_z
_atom_site_occupancy
Ho1 0.5321 0.4538 0.4538 1
Ho2 0.0000 0.0782 0.5462 1
Ho3 0.0000 0.5462 0.0782 1
Ho4 0.4679 0.9218 0.9218 1
Pr1 0.5000 0.5000 0.0000 1
Pr2 0.5000 0.0000 0.5000 1
Pr3 0.0000 0.4075 0.7433 1
Pr4 0.6641 0.2567 0.2567 1
Pr5 0.0000 0.7433 0.4075 1
Pr6 0.3359 0.5925 0.5925 1
Ca1 0.0000 0.0000 0.0000 1
```

=====

4.
Density functional theory data (PBE-GGA) for a relaxed Na4B7C crystal.

Summary:
Total DFT energy (no corrections) (hartree per atom): -0.1786
Fermi-level density of states (states/eV per cell): 8.46
Volume (Å³ per cell): 265.6
Polymorph energy (0 for the lowest one) (eV per atom): 0.020

The structure in CIF format:
```
data_Na4B7C
_chemical_formula_sum 'Na8 B14 C2'
_cell_length_a 5.2747
_cell_length_b 5.8171
_cell_length_c 8.6572
_cell_angle_alpha 90.00
_cell_angle_beta 90.00
_cell_angle_gamma 90.00
_space_group_name_H-M_alt 'P 1'
_space_group_IT_number 1
_space_group_name_Hall 'P 1'
loop_
_atom_site_label
_atom_site_fract_x
_atom_site_fract_y
_atom_site_fract_z
_atom_site_occupancy
Na1 0.4991 0.2504 0.5024 1
Na2 0.4991 0.2504 0.9976 1
Na3 0.0024 0.9999 0.9990 1
Na4 0.0009 0.4996 0.0024 1
Na5 0.0009 0.4996 0.4976 1
Na6 0.4976 0.7501 0.0010 1
Na7 0.4976 0.7501 0.4990 1
Na8 0.0024 0.9999 0.5010 1
B1 0.3328 0.4995 0.2500 1
B2 0.6533 0.5061 0.7500 1
B3 0.3236 0.9877 0.7500 1
B4 0.8656 0.7501 0.7500 1
B5 0.3238 0.5135 0.7500 1
B6 0.1672 0.2505 0.7500 1
B7 0.6541 0.4996 0.2500 1
B8 0.6344 0.9999 0.2500 1
B9 0.8469 0.7546 0.2500 1
B10 0.8459 0.2504 0.7500 1
B11 0.1762 0.2365 0.2500 1
B12 0.6531 0.9954 0.7500 1
B13 0.8467 0.2439 0.2500 1
B14 0.1764 0.7623 0.2500 1
C1 0.3344 0.9989 0.2500 1
C2 0.1656 0.7511 0.7500 1
```

=====

5.
Density functional theory data (PBE-GGA) for a relaxed Ac2MgSeO6 crystal.

Summary:
Total DFT energy (no corrections) (hartree per atom): -0.2455
Fermi-level density of states (states/eV per cell): 0.00
Volume (Å³ per cell): 266.9

The structure in CIF format:
```
data_Ac2MgSeO6
_chemical_formula_sum 'Ac4 Mg2 Se2 O12'
_cell_length_a 5.7361
_cell_length_b 5.7361
_cell_length_c 8.1113
_cell_angle_alpha 90.00
_cell_angle_beta 90.00
_cell_angle_gamma 90.00
_space_group_name_H-M_alt 'P 1'
_space_group_IT_number 1
_space_group_name_Hall 'P 1'
loop_
_atom_site_label
_atom_site_fract_x
_atom_site_fract_y
_atom_site_fract_z
_atom_site_occupancy
O1 0.2500 0.9999 0.0000 1
O2 0.2504 0.4999 0.5000 1
O3 0.0000 0.7494 0.2499 1
O4 0.5000 0.2506 0.7499 1
O5 0.7500 0.0001 0.5000 1
O6 0.2496 0.5001 0.0000 1
O7 0.0000 0.7494 0.7501 1
O8 0.2500 0.0001 0.5000 1
O9 0.7496 0.4999 0.5000 1
O10 0.5000 0.2506 0.2501 1
O11 0.7504 0.5001 0.0000 1
O12 0.7500 0.9999 0.0000 1
Ac1 0.5000 0.7503 0.2501 1
Ac2 0.5000 0.7503 0.7499 1
Ac3 0.0000 0.2497 0.7501 1
Ac4 0.0000 0.2497 0.2499 1
Mg1 0.0000 0.7499 0.5000 1
Mg2 0.5000 0.2501 0.0000 1
Se1 0.5000 0.2504 0.5000 1
Se2 0.0000 0.7496 0.0000 1
```

=====

6.
Density functional theory data (PBE-GGA) for a relaxed MgBeMoHW crystal.

Summary:
Total DFT energy (no corrections) (hartree per atom): -0.2272
Fermi-level density of states (states/eV per cell): 2.65
Volume (Å³ per cell): 62.1
Polymorph energy (0 for the lowest one) (eV per atom): 0.163

The structure in CIF format:
```
data_MgBeMoHW
_chemical_formula_sum 'Mg1 Be1 Mo1 H1 W1'
_cell_length_a 2.7906
_cell_length_b 4.2669
_cell_length_c 5.2974
_cell_angle_alpha 90.00
_cell_angle_beta 100.04
_cell_angle_gamma 90.00
_space_group_name_H-M_alt 'P 1'
_space_group_IT_number 1
_space_group_name_Hall 'P 1'
loop_
_atom_site_label
_atom_site_fract_x
_atom_site_fract_y
_atom_site_fract_z
_atom_site_occupancy
Be1 0.4562 0.0000 0.0593 1
Mg1 0.5754 0.5000 0.2908 1
W1 0.9490 0.5000 0.8062 1
Mo1 0.1743 0.0000 0.5482 1
H1 0.8391 0.0000 0.8217 1
```